[1]
Sn7Os3: PBEsol geometry, SCAN.

abc: 8.112 8.112 8.112
angles: 109.47 109.47 109.47
Fractional positions:
Sn1 0.500 0.250 0.750
Os1 0.000 0.344 0.344
Sn2 0.678 0.000 0.000
Sn3 0.000 0.678 0.000
Os2 0.344 0.000 0.344
Os3 0.000 0.656 0.656
Os4 0.656 0.000 0.656
Sn4 0.250 0.500 0.750
Sn5 0.322 0.322 0.322
Sn6 0.750 0.250 0.500
Sn7 0.500 0.750 0.250
Sn8 0.000 0.000 0.322
Os5 0.656 0.656 0.000
Sn9 0.678 0.678 0.678
Os6 0.344 0.344 0.000
Sn10 0.322 0.000 0.000
Sn11 0.750 0.500 0.250
Sn12 0.250 0.750 0.500
Sn13 0.000 0.322 0.000
Sn14 0.000 0.000 0.678

symmetry: Im-3m
ΔH_f (0 K): 0.0326 eV per atom
size of the total moment: 0.00 μB per formula unit



[2]
K2LiSb: PBEsol geometry, SCAN.

abc: 5.170 5.170 6.435
angles: 66.32 66.32 60.00
Fractional positions:
K1 0.016 0.016 0.951
Sb1 0.790 0.790 0.631
Li1 0.462 0.462 0.614
K2 0.231 0.231 0.307

symmetry: R3m
energy above the lowest structure with this stoichiometry: 0 meV per atom
size of the total moment: 0.00 μB per formula unit
formation energy (no corrections): -519 meV per atom



[3]
Tl2CoSi: PBEsol geometry, SCAN.

abc: 3.032 3.032 8.533
angles: 90.00 90.00 90.00
Fractional positions:
Tl1 0.000 0.000 0.950
Co1 0.000 0.000 0.569
Tl2 0.500 0.500 0.311
Si1 0.500 0.500 0.669

symmetry: P4mm
energy above the lowest structure with this stoichiometry: 0 meV per atom
size of the total moment: 0.89 μB per formula unit
formation energy (no corrections): 225 meV per atom



[4]
BaLiGe2: PBEsol geometry, SCAN.

abc: 4.576 7.390 11.782
angles: 90.00 90.00 90.00
Fractional positions:
Li1 0.250 0.117 0.563
Ge1 0.250 0.201 0.152
Ge2 0.250 0.701 0.348
Ba1 0.750 0.865 0.140
Li2 0.250 0.617 0.937
Ba2 0.750 0.365 0.360
Ge3 0.750 0.965 0.660
Ge4 0.250 0.035 0.340
Ba3 0.250 0.635 0.640
Ge5 0.750 0.799 0.848
Ba4 0.250 0.135 0.860
Li3 0.750 0.383 0.063
Li4 0.750 0.883 0.437
Ge6 0.750 0.465 0.840
Ge7 0.250 0.535 0.160
Ge8 0.750 0.299 0.652

symmetry: Pnma
ΔH_f (0 K): -0.5808 eV per atom
size of the total moment: 0.00 μB per formula unit



[5]
Hf2InGa2: PBEsol geometry, SCAN.

abc: 3.917 6.849 6.849
angles: 90.00 90.00 90.00
Fractional positions:
In1 0.000 0.000 0.000
In2 0.000 0.500 0.500
Ga1 0.000 0.376 0.876
Hf1 0.500 0.675 0.825
Hf2 0.500 0.175 0.675
Hf3 0.500 0.325 0.175
Ga2 0.000 0.624 0.124
Ga3 0.000 0.876 0.624
Hf4 0.500 0.825 0.325
Ga4 0.000 0.124 0.376

symmetry: P4/mbm
ΔH_f (0 K): -0.4338 eV per atom
size of the total moment: 0.00 μB per formula unit



[6]
NiAuSCl2: PBEsol geometry, SCAN.

abc: 4.763 4.763 4.949
angles: 90.00 90.00 90.00
Fractional positions:
Cl1 0.000 0.500 0.000
Au1 0.000 0.000 0.000
S1 0.000 0.000 0.500
Ni1 0.500 0.500 0.500
Cl2 0.500 0.000 0.000

symmetry: P4/mmm
size of the total moment: 1.52 μB per formula unit
formation energy (no corrections): 531 meV per atom



[7]
NaC3S: PBEsol geometry, SCAN.

abc: 3.670 3.670 3.670
angles: 90.00 90.00 90.00
Fractional positions:
S1 0.000 0.000 0.000
C1 0.500 0.000 0.000
Na1 0.500 0.500 0.500
C2 0.000 0.500 0.000
C3 0.000 0.000 0.500

symmetry: Pm-3m
size of the total moment: 0.00 μB per formula unit
formation energy (no corrections): 2504 meV per atom



[8]
Sb2RuCI: PBEsol geometry, SCAN.

abc: 4.949 4.949 5.561
angles: 90.00 90.00 90.00
Fractional positions:
Sb1 0.500 0.000 0.000
Sb2 0.000 0.500 0.000
I1 0.000 0.000 0.500
Ru1 0.000 0.000 0.000
C1 0.500 0.500 0.500

symmetry: P4/mmm
size of the total moment: 1.58 μB per formula unit
formation energy (no corrections): 1686 meV per atom



[9]
LaIn2Ag2: PBEsol geometry, SCAN.

abc: 4.671 4.671 6.368
angles: 111.52 111.52 90.00
Fractional positions:
In1 0.376 0.376 0.751
La1 0.000 0.000 0.000
In2 0.624 0.624 0.249
Ag1 0.750 0.250 0.500
Ag2 0.250 0.750 0.500

symmetry: I4/mmm
ΔH_f (0 K): -0.3910 eV per atom
size of the total moment: 0.00 μB per formula unit



[10]
Mn2NiHg: PBEsol geometry, SCAN.

abc: 3.884 3.884 4.651
angles: 114.68 114.68 90.00
Fractional positions:
Hg1 0.000 0.000 0.000
Mn1 0.750 0.250 0.500
Mn2 0.250 0.750 0.500
Ni1 0.500 0.500 0.000

symmetry: I4/mmm
ΔH_f (0 K): -0.0793 eV per atom
size of the total moment: 8.53 μB per formula unit



[11]
InB2AuBr: PBEsol geometry, SCAN.

abc: 4.426 4.426 5.501
angles: 90.00 90.00 90.00
Fractional positions:
In1 0.000 0.000 0.000
B1 0.500 0.000 0.000
Au1 0.500 0.500 0.500
Br1 0.000 0.000 0.500
B2 0.000 0.500 0.000

symmetry: P4/mmm
size of the total moment: 0.00 μB per formula unit
formation energy (no corrections): 1706 meV per atom



[12]
ScNbSe3: PBEsol geometry, SCAN.

abc: 4.963 4.963 4.963
angles: 90.00 90.00 90.00
Fractional positions:
Se1 0.500 0.000 0.000
Sc1 0.500 0.500 0.500
Nb1 0.000 0.000 0.000
Se2 0.000 0.000 0.500
Se3 0.000 0.500 0.000

symmetry: Pm-3m
energy above the lowest structure with this stoichiometry: 0 meV per atom
size of the total moment: 1.02 μB per formula unit
formation energy (no corrections): -423 meV per atom



[13]
YTl8: PBEsol geometry, SCAN.

abc: 4.789 7.531 7.531
angles: 84.20 71.46 71.46
Fractional positions:
Tl1 0.668 0.665 0.000
Tl2 0.000 0.333 0.667
Tl3 0.332 0.335 0.000
Tl4 0.333 0.667 0.667
Tl5 0.000 0.667 0.333
Tl6 0.668 0.000 0.665
Tl7 0.667 0.333 0.333
Tl8 0.332 0.000 0.335
Y1 0.000 0.000 0.000

symmetry: I4/mmm
ΔH_f (0 K): -0.0725 eV per atom
size of the total moment: 0.00 μB per formula unit



[14]
BSbAu2: PBEsol geometry, SCAN.

abc: 4.624 4.624 4.624
angles: 60.00 60.00 60.00
Fractional positions:
Sb1 0.500 0.500 0.500
B1 0.000 0.000 0.000
Au1 0.250 0.250 0.250
Au2 0.750 0.750 0.750

symmetry: Fm-3m
size of the total moment: 0.00 μB per formula unit
formation energy (no corrections): 987 meV per atom



[15]
HfTc3Hg: PBEsol geometry, SCAN.

abc: 4.691 4.691 4.691
angles: 90.00 90.00 90.00
Fractional positions:
Tc1 0.000 0.500 0.000
Tc2 0.000 0.000 0.500
Hg1 0.500 0.500 0.500
Tc3 0.500 0.000 0.000
Hf1 0.000 0.000 0.000

symmetry: Pm-3m
ΔH_f (0 K): 1.8022 eV per atom
size of the total moment: 3.30 μB per formula unit



[16]
Ta2CrPb: PBEsol geometry, SCAN.

abc: 3.628 4.311 4.465
angles: 90.00 90.00 90.00
Fractional positions:
Pb1 0.000 0.500 0.500
Ta1 0.000 0.000 0.000
Ta2 0.500 0.500 0.000
Cr1 0.500 0.000 0.500

symmetry: Pmmm
ΔH_f (0 K): 0.2829 eV per atom
size of the total moment: 2.63 μB per formula unit



[17]
Sr4CdTc: PBEsol geometry, SCAN.

abc: 6.626 6.626 6.626
angles: 60.00 60.00 60.00
Fractional positions:
Cd1 0.000 0.000 0.000
Sr1 0.376 0.376 0.376
Tc1 0.750 0.750 0.750
Sr2 0.873 0.376 0.376
Sr3 0.376 0.873 0.376
Sr4 0.376 0.376 0.873

symmetry: F-43m
ΔH_f (0 K): 1.0402 eV per atom
size of the total moment: 2.50 μB per formula unit



[18]
Cd2TcHRh: PBEsol geometry, SCAN.

abc: 3.264 4.586 4.586
angles: 90.00 90.00 90.00
Fractional positions:
Cd1 0.000 0.500 0.000
H1 0.000 0.000 0.000
Cd2 0.000 0.000 0.500
Rh1 0.500 0.000 0.000
Tc1 0.500 0.500 0.500

symmetry: P4/mmm
size of the total moment: 2.28 μB per formula unit
E_tot: -26.261 eV/atom



[19]
Rb3HSe2O8: PBEsol geometry, SCAN.

abc: 6.043 6.043 8.223
angles: 69.67 69.67 59.81
Fractional positions:
O1 0.291 0.747 0.686
O2 0.279 0.279 0.736
Se1 0.426 0.426 0.763
O3 0.613 0.613 0.012
O4 0.387 0.387 0.988
O5 0.747 0.291 0.686
Rb1 0.000 0.000 0.000
Rb2 0.802 0.802 0.610
H1 0.500 0.500 0.000
O6 0.709 0.253 0.314
Se2 0.574 0.574 0.237
Rb3 0.198 0.198 0.390
O7 0.721 0.721 0.264
O8 0.253 0.709 0.314

symmetry: C2/m
size of the total moment: 0.00 μB per formula unit
E_tot: -12.522 eV/atom



[20]
In2FeHg: PBEsol geometry, SCAN.

abc: 3.173 3.173 9.217
angles: 80.09 80.09 60.00
Fractional positions:
In1 0.760 0.760 0.721
Hg1 0.000 0.000 0.000
In2 0.240 0.240 0.279
Fe1 0.500 0.500 0.500

symmetry: R-3m
ΔH_f (0 K): 0.2664 eV per atom
size of the total moment: 2.68 μB per formula unit



[21]
BMo2: PBEsol geometry, SCAN.

abc: 4.554 4.554 4.554
angles: 105.57 105.57 117.59
Fractional positions:
B1 0.750 0.750 0.000
Mo1 0.331 0.169 0.500
Mo2 0.669 0.831 0.500
B2 0.250 0.250 0.000
Mo3 0.169 0.669 0.838
Mo4 0.831 0.331 0.162

symmetry: I4/mcm
ΔH_f (0 K): -0.3034 eV per atom
size of the total moment: 0.00 μB per formula unit



[22]
Zn: PBEsol geometry, SCAN.

abc: 2.610 2.775 6.765
angles: 83.95 78.88 61.95
Fractional positions:
Zn1 0.758 0.821 0.664
Zn2 0.242 0.179 0.336
Zn3 0.000 0.000 0.000

symmetry: C2/m
ΔH_f (0 K): 0.0132 eV per atom
energy above the lowest structure with this stoichiometry: 13 meV per atom
size of the total moment: 0.00 μB per formula unit



[23]
HgAu2Cl: PBEsol geometry, SCAN.

abc: 4.759 4.759 4.759
angles: 60.00 60.00 60.00
Fractional positions:
Au1 0.250 0.250 0.250
Au2 0.750 0.750 0.750
Hg1 0.500 0.500 0.500
Cl1 0.000 0.000 0.000

symmetry: Fm-3m
energy above the lowest structure with this stoichiometry: 194 meV per atom
size of the total moment: 0.00 μB per formula unit
formation energy (no corrections): 331 meV per atom



[24]
NiRu2Rh: PBEsol geometry, SCAN.

abc: 2.625 2.625 7.359
angles: 90.00 90.00 90.00
Fractional positions:
Ru1 0.000 0.000 0.761
Ru2 0.000 0.000 0.239
Rh1 0.500 0.500 0.500
Ni1 0.500 0.500 0.000

symmetry: P4/mmm
ΔH_f (0 K): 0.1564 eV per atom
energy above the lowest structure with this stoichiometry: 63 meV per atom
size of the total moment: 0.00 μB per formula unit



[25]
ZrMn3: PBEsol geometry, SCAN.

abc: 4.790 4.790 7.928
angles: 90.00 90.00 120.00
Fractional positions:
Mn1 0.163 0.325 0.744
Mn2 0.163 0.837 0.744
Mn3 0.989 0.495 0.255
Mn4 0.505 0.011 0.255
Mn5 0.505 0.495 0.255
Zr1 0.000 0.000 0.445
Mn6 0.333 0.667 0.500
Zr2 0.667 0.333 0.929
Mn7 0.675 0.837 0.744
Mn8 0.667 0.333 0.565
Zr3 0.000 0.000 0.065
Mn9 0.333 0.667 0.997

symmetry: P3m1
ΔH_f (0 K): -0.1128 eV per atom
size of the total moment: 0.09 μB per formula unit



[26]
Ca3TlCu: PBEsol geometry, SCAN.

abc: 5.422 5.422 5.422
angles: 90.00 90.00 90.00
Fractional positions:
Tl1 0.500 0.500 0.500
Ca1 0.000 0.500 0.000
Ca2 0.000 0.000 0.500
Cu1 0.000 0.000 0.000
Ca3 0.500 0.000 0.000

symmetry: Pm-3m
ΔH_f (0 K): -0.0896 eV per atom
size of the total moment: 0.00 μB per formula unit